Density functional theory data (PBE) for a relaxed AlV3Re crystal.

Geometry as POSCAR:
```
AlV3Re
1.0
4.8080 0.0000 0.0000
0.0000 4.6858 0.0000
-1.6266 0.0000 6.3589
Al V Re
2 6 2
direct
0.0030 0.2500 0.1556
0.9970 0.7500 0.8444
0.2364 0.7500 0.2601
0.4520 0.7500 0.6358
0.5000 0.0000 0.0000
0.5000 0.5000 0.0000
0.5480 0.2500 0.3642
0.7636 0.2500 0.7399
0.1729 0.2500 0.5774
0.8271 0.7500 0.4226
```

Summary:
Energy above the lowest structure with this stoichiometry in meV per atom: 0
Energy in eV/atom: -8.713
Formation enthalpy at 0 K in eV per atom: -0.004
Space-group type: P2_1/m, No. 11